Density functional theory data (GGA-PBE) for crystalline GaRe at its relaxed geometry.

a = 7.862 Å, b = 7.862 Å, c = 7.862 Å
α = 90.00°, β = 90.00°, γ = 90.00°
Space group I-43m (No. 217)
Inequivalent atoms, fractional coordinates:
Ga: 0.200 0.200 0.200 [8 per cell]
Re: 0.114 0.114 0.886 [8 per cell]

## Properties
formation energy from the elements	249	kJ/mol of formula units
calculated total energy	-103.2	eV per cell